Entry 1:
# Sn2SbS2I3 | the Alexandria database | PBE-GGA | optimized geometry
# DFT total energy	-3.495	eV per atom
# M_tot	0.00	μB per cell
data_Sn2SbS2I3
_chemical_formula_sum 'Sn8 Sb4 S8 I12'
_symmetry_space_group_name_H-M 'C m c 21'
_symmetry_Int_Tables_number 36
_symmetry_space_group_name_Hall 'C 2c -2'
_cell_length_a 4.3319
_cell_length_b 15.7037
_cell_length_c 17.0710
_cell_angle_alpha 90.00
_cell_angle_beta 90.00
_cell_angle_gamma 90.00
loop_
_atom_site_label
_atom_site_type_symbol
_atom_site_fract_x
_atom_site_fract_y
_atom_site_fract_z
_atom_site_occupancy
Sn1 Sn 0.0000 0.0966 0.0000 1
Sn2 Sn 0.0000 0.1865 0.4526 1
Sb1 Sb 0.0000 0.2334 0.6978 1
S1 S 0.0000 0.2235 0.9010 1
S2 S 0.0000 0.3030 0.5698 1
I1 I 0.0000 0.1395 0.2500 1
I2 I 0.0000 0.3946 0.1398 1
I3 I 0.0000 0.4877 0.3930 1


Entry 2:
# SnSbSI2 | the Alexandria database | PBE-GGA | optimized geometry
# DFT total energy	-2.353	eV per atom
# M_tot	0.00	μB per cell
data_SnSbSI2
_chemical_formula_sum 'Sn1 Sb1 S1 I2'
_symmetry_space_group_name_H-M 'P 4/m m m'
_symmetry_Int_Tables_number 123
_symmetry_space_group_name_Hall '-P 4 2'
_cell_length_a 5.7264
_cell_length_b 5.7264
_cell_length_c 6.0778
_cell_angle_alpha 90.00
_cell_angle_beta 90.00
_cell_angle_gamma 90.00
loop_
_atom_site_label
_atom_site_type_symbol
_atom_site_fract_x
_atom_site_fract_y
_atom_site_fract_z
_atom_site_occupancy
Sn1 Sn 0.0000 0.0000 0.0000 1
Sb1 Sb 0.0000 0.0000 0.5000 1
S1 S 0.5000 0.5000 0.5000 1
I1 I 0.0000 0.5000 0.0000 1


Entry 3:
# SnSbS2I | the Alexandria database | PBE-GGA | optimized geometry
# DFT total energy	-3.910	eV per atom
# M_tot	0.00	μB per cell
data_SnSbS2I
_chemical_formula_sum 'Sn2 Sb2 S4 I2'
_symmetry_space_group_name_H-M 'P 1 21/m 1'
_symmetry_Int_Tables_number 11
_symmetry_space_group_name_Hall '-P 2yb'
_cell_length_a 9.8030
_cell_length_b 4.0841
_cell_length_c 9.9541
_cell_angle_alpha 90.00
_cell_angle_beta 110.02
_cell_angle_gamma 90.00
loop_
_atom_site_label
_atom_site_type_symbol
_atom_site_fract_x
_atom_site_fract_y
_atom_site_fract_z
_atom_site_occupancy
Sn1 Sn 0.1786 0.2500 0.0208 1
Sb1 Sb 0.3234 0.7500 0.4669 1
S1 S 0.1009 0.7500 0.1518 1
S2 S 0.4229 0.2500 0.3458 1
I1 I 0.2337 0.2500 0.6575 1


Entry 4:
# SrSbS2I | the Alexandria database | PBE-GGA | optimized geometry
# DFT total energy	-4.190	eV per atom
# M_tot	0.00	μB per cell
data_SrSbS2I
_chemical_formula_sum 'Sr2 Sb2 S4 I2'
_symmetry_space_group_name_H-M 'P 1 21/m 1'
_symmetry_Int_Tables_number 11
_symmetry_space_group_name_Hall '-P 2yb'
_cell_length_a 7.6995
_cell_length_b 5.3127
_cell_length_c 8.9795
_cell_angle_alpha 90.00
_cell_angle_beta 106.60
_cell_angle_gamma 90.00
loop_
_atom_site_label
_atom_site_type_symbol
_atom_site_fract_x
_atom_site_fract_y
_atom_site_fract_z
_atom_site_occupancy
Sr1 Sr 0.2026 0.2500 0.4354 1
Sb1 Sb 0.1571 0.2500 0.9215 1
S1 S 0.0325 0.7500 0.3477 1
S2 S 0.0639 0.7500 0.9217 1
I1 I 0.4347 0.7500 0.6905 1


Entry 5:
# SrSb2SI | the Alexandria database | PBE-GGA | optimized geometry
# DFT total energy	-3.285	eV per atom
# M_tot	0.00	μB per cell
data_SrSb2SI
_chemical_formula_sum 'Sr1 Sb2 S1 I1'
_symmetry_space_group_name_H-M 'P 4/m m m'
_symmetry_Int_Tables_number 123
_symmetry_space_group_name_Hall '-P 4 2'
_cell_length_a 5.3030
_cell_length_b 5.3030
_cell_length_c 5.7451
_cell_angle_alpha 90.00
_cell_angle_beta 90.00
_cell_angle_gamma 90.00
loop_
_atom_site_label
_atom_site_type_symbol
_atom_site_fract_x
_atom_site_fract_y
_atom_site_fract_z
_atom_site_occupancy
Sr1 Sr 0.0000 0.0000 0.0000 1
Sb1 Sb 0.0000 0.5000 0.5000 1
S1 S 0.5000 0.5000 0.5000 1
I1 I 0.5000 0.5000 0.0000 1


Entry 6:
# SrSb2SI | the Alexandria database | PBE-GGA | optimized geometry
# DFT total energy	-2.346	eV per atom
# M_tot	0.00	μB per cell
data_SrSb2SI
_chemical_formula_sum 'Sr1 Sb2 S1 I1'
_symmetry_space_group_name_H-M 'P 4/m m m'
_symmetry_Int_Tables_number 123
_symmetry_space_group_name_Hall '-P 4 2'
_cell_length_a 6.2933
_cell_length_b 6.2933
_cell_length_c 5.9274
_cell_angle_alpha 90.00
_cell_angle_beta 90.00
_cell_angle_gamma 90.00
loop_
_atom_site_label
_atom_site_type_symbol
_atom_site_fract_x
_atom_site_fract_y
_atom_site_fract_z
_atom_site_occupancy
Sr1 Sr 0.0000 0.0000 0.0000 1
Sb1 Sb 0.0000 0.5000 0.0000 1
S1 S 0.5000 0.5000 0.5000 1
I1 I 0.0000 0.0000 0.5000 1


Entry 7:
# TaSb2SI | the Alexandria database | PBE-GGA | optimized geometry
# DFT total energy	-4.524	eV per atom
# M_tot	0.00	μB per cell
data_TaSb2SI
_chemical_formula_sum 'Ta1 Sb2 S1 I1'
_symmetry_space_group_name_H-M 'P 4/m m m'
_symmetry_Int_Tables_number 123
_symmetry_space_group_name_Hall '-P 4 2'
_cell_length_a 5.4131
_cell_length_b 5.4131
_cell_length_c 5.2250
_cell_angle_alpha 90.00
_cell_angle_beta 90.00
_cell_angle_gamma 90.00
loop_
_atom_site_label
_atom_site_type_symbol
_atom_site_fract_x
_atom_site_fract_y
_atom_site_fract_z
_atom_site_occupancy
Ta1 Ta 0.0000 0.0000 0.0000 1
Sb1 Sb 0.0000 0.5000 0.0000 1
S1 S 0.5000 0.5000 0.5000 1
I1 I 0.0000 0.0000 0.5000 1


Entry 8:
# TaSbSI2 | the Alexandria database | PBE-GGA | optimized geometry
# DFT total energy	-4.020	eV per atom
# M_tot	0.16	μB per cell
data_TaSbSI2
_chemical_formula_sum 'Ta1 Sb1 S1 I2'
_symmetry_space_group_name_H-M 'P 4/m m m'
_symmetry_Int_Tables_number 123
_symmetry_space_group_name_Hall '-P 4 2'
_cell_length_a 5.3058
_cell_length_b 5.3058
_cell_length_c 5.6223
_cell_angle_alpha 90.00
_cell_angle_beta 90.00
_cell_angle_gamma 90.00
loop_
_atom_site_label
_atom_site_type_symbol
_atom_site_fract_x
_atom_site_fract_y
_atom_site_fract_z
_atom_site_occupancy
Ta1 Ta 0.0000 0.0000 0.0000 1
Sb1 Sb 0.0000 0.0000 0.5000 1
S1 S 0.5000 0.5000 0.5000 1
I1 I 0.0000 0.5000 0.0000 1


Entry 9:
# TaSbSI2 | the Alexandria database | PBE-GGA | optimized geometry
# DFT total energy	-3.327	eV per atom
# M_tot	2.12	μB per cell
data_TaSbSI2
_chemical_formula_sum 'Ta1 Sb1 S1 I2'
_symmetry_space_group_name_H-M 'P 4/m m m'
_symmetry_Int_Tables_number 123
_symmetry_space_group_name_Hall '-P 4 2'
_cell_length_a 5.3733
_cell_length_b 5.3733
_cell_length_c 5.1818
_cell_angle_alpha 90.00
_cell_angle_beta 90.00
_cell_angle_gamma 90.00
loop_
_atom_site_label
_atom_site_type_symbol
_atom_site_fract_x
_atom_site_fract_y
_atom_site_fract_z
_atom_site_occupancy
Ta1 Ta 0.0000 0.0000 0.0000 1
Sb1 Sb 0.5000 0.5000 0.0000 1
S1 S 0.5000 0.5000 0.5000 1
I1 I 0.0000 0.5000 0.5000 1


Entry 10:
# TaSb2SI | the Alexandria database | PBE-GGA | optimized geometry
# DFT total energy	-3.955	eV per atom
# M_tot	1.77	μB per cell
data_TaSb2SI
_chemical_formula_sum 'Ta1 Sb2 S1 I1'
_symmetry_space_group_name_H-M 'P 4/m m m'
_symmetry_Int_Tables_number 123
_symmetry_space_group_name_Hall '-P 4 2'
_cell_length_a 5.0853
_cell_length_b 5.0853
_cell_length_c 5.3310
_cell_angle_alpha 90.00
_cell_angle_beta 90.00
_cell_angle_gamma 90.00
loop_
_atom_site_label
_atom_site_type_symbol
_atom_site_fract_x
_atom_site_fract_y
_atom_site_fract_z
_atom_site_occupancy
Ta1 Ta 0.0000 0.0000 0.0000 1
Sb1 Sb 0.0000 0.5000 0.5000 1
S1 S 0.5000 0.5000 0.5000 1
I1 I 0.5000 0.5000 0.0000 1


Entry 11:
# TcSb2SI | the Alexandria database | PBE-GGA | optimized geometry
# DFT total energy	-4.211	eV per atom
# M_tot	0.00	μB per cell
data_TcSb2SI
_chemical_formula_sum 'Tc1 Sb2 S1 I1'
_symmetry_space_group_name_H-M 'P 4/m m m'
_symmetry_Int_Tables_number 123
_symmetry_space_group_name_Hall '-P 4 2'
_cell_length_a 5.1489
_cell_length_b 5.1489
_cell_length_c 5.2812
_cell_angle_alpha 90.00
_cell_angle_beta 90.00
_cell_angle_gamma 90.00
loop_
_atom_site_label
_atom_site_type_symbol
_atom_site_fract_x
_atom_site_fract_y
_atom_site_fract_z
_atom_site_occupancy
Tc1 Tc 0.0000 0.0000 0.0000 1
Sb1 Sb 0.0000 0.5000 0.0000 1
S1 S 0.5000 0.5000 0.5000 1
I1 I 0.0000 0.0000 0.5000 1


Entry 12:
# TcSbSI2 | the Alexandria database | PBE-GGA | optimized geometry
# DFT total energy	-3.121	eV per atom
# M_tot	4.31	μB per cell
data_TcSbSI2
_chemical_formula_sum 'Tc1 Sb1 S1 I2'
_symmetry_space_group_name_H-M 'P 4/m m m'
_symmetry_Int_Tables_number 123
_symmetry_space_group_name_Hall '-P 4 2'
_cell_length_a 5.5439
_cell_length_b 5.5439
_cell_length_c 5.2507
_cell_angle_alpha 90.00
_cell_angle_beta 90.00
_cell_angle_gamma 90.00
loop_
_atom_site_label
_atom_site_type_symbol
_atom_site_fract_x
_atom_site_fract_y
_atom_site_fract_z
_atom_site_occupancy
Tc1 Tc 0.0000 0.0000 0.0000 1
Sb1 Sb 0.5000 0.5000 0.0000 1
S1 S 0.5000 0.5000 0.5000 1
I1 I 0.0000 0.5000 0.5000 1


Entry 13:
# TcSb2SI | the Alexandria database | PBE-GGA | optimized geometry
# DFT total energy	-3.651	eV per atom
# M_tot	3.44	μB per cell
data_TcSb2SI
_chemical_formula_sum 'Tc1 Sb2 S1 I1'
_symmetry_space_group_name_H-M 'P 4/m m m'
_symmetry_Int_Tables_number 123
_symmetry_space_group_name_Hall '-P 4 2'
_cell_length_a 5.1906
_cell_length_b 5.1906
_cell_length_c 5.4556
_cell_angle_alpha 90.00
_cell_angle_beta 90.00
_cell_angle_gamma 90.00
loop_
_atom_site_label
_atom_site_type_symbol
_atom_site_fract_x
_atom_site_fract_y
_atom_site_fract_z
_atom_site_occupancy
Tc1 Tc 0.0000 0.0000 0.0000 1
Sb1 Sb 0.0000 0.5000 0.5000 1
S1 S 0.5000 0.5000 0.5000 1
I1 I 0.5000 0.5000 0.0000 1


Entry 14:
# TcSbSI2 | the Alexandria database | PBE-GGA | optimized geometry
# DFT total energy	-3.592	eV per atom
# M_tot	0.79	μB per cell
data_TcSbSI2
_chemical_formula_sum 'Tc1 Sb1 S1 I2'
_symmetry_space_group_name_H-M 'P 4/m m m'
_symmetry_Int_Tables_number 123
_symmetry_space_group_name_Hall '-P 4 2'
_cell_length_a 5.2907
_cell_length_b 5.2907
_cell_length_c 5.2826
_cell_angle_alpha 90.00
_cell_angle_beta 90.00
_cell_angle_gamma 90.00
loop_
_atom_site_label
_atom_site_type_symbol
_atom_site_fract_x
_atom_site_fract_y
_atom_site_fract_z
_atom_site_occupancy
Tc1 Tc 0.0000 0.0000 0.0000 1
Sb1 Sb 0.0000 0.0000 0.5000 1
S1 S 0.5000 0.5000 0.5000 1
I1 I 0.0000 0.5000 0.0000 1


Entry 15:
# SbTeSI2 | the Alexandria database | PBE-GGA | optimized geometry
# DFT total energy	-2.352	eV per atom
# M_tot	0.00	μB per cell
data_SbTeSI2
_chemical_formula_sum 'Sb1 Te1 S1 I2'
_symmetry_space_group_name_H-M 'P 4/m m m'
_symmetry_Int_Tables_number 123
_symmetry_space_group_name_Hall '-P 4 2'
_cell_length_a 5.4719
_cell_length_b 5.4719
_cell_length_c 5.3900
_cell_angle_alpha 90.00
_cell_angle_beta 90.00
_cell_angle_gamma 90.00
loop_
_atom_site_label
_atom_site_type_symbol
_atom_site_fract_x
_atom_site_fract_y
_atom_site_fract_z
_atom_site_occupancy
Sb1 Sb 0.0000 0.0000 0.0000 1
Te1 Te 0.5000 0.5000 0.0000 1
S1 S 0.5000 0.5000 0.5000 1
I1 I 0.0000 0.5000 0.5000 1


Entry 16:
# SbTeSI2 | the Alexandria database | PBE-GGA | optimized geometry
# DFT total energy	-2.269	eV per atom
# M_tot	2.90	μB per cell
data_SbTeSI2
_chemical_formula_sum 'Sb1 Te1 S1 I2'
_symmetry_space_group_name_H-M 'P 4/m m m'
_symmetry_Int_Tables_number 123
_symmetry_space_group_name_Hall '-P 4 2'
_cell_length_a 5.9773
_cell_length_b 5.9773
_cell_length_c 5.9124
_cell_angle_alpha 90.00
_cell_angle_beta 90.00
_cell_angle_gamma 90.00
loop_
_atom_site_label
_atom_site_type_symbol
_atom_site_fract_x
_atom_site_fract_y
_atom_site_fract_z
_atom_site_occupancy
Sb1 Sb 0.0000 0.0000 0.0000 1
Te1 Te 0.0000 0.0000 0.5000 1
S1 S 0.5000 0.5000 0.5000 1
I1 I 0.0000 0.5000 0.0000 1


Entry 17:
# SbTeSI2 | the Alexandria database | PBE-GGA | optimized geometry
# DFT total energy	-2.334	eV per atom
# M_tot	0.00	μB per cell
data_SbTeSI2
_chemical_formula_sum 'Sb1 Te1 S1 I2'
_symmetry_space_group_name_H-M 'P 4/m m m'
_symmetry_Int_Tables_number 123
_symmetry_space_group_name_Hall '-P 4 2'
_cell_length_a 5.1811
_cell_length_b 5.1811
_cell_length_c 6.1918
_cell_angle_alpha 90.00
_cell_angle_beta 90.00
_cell_angle_gamma 90.00
loop_
_atom_site_label
_atom_site_type_symbol
_atom_site_fract_x
_atom_site_fract_y
_atom_site_fract_z
_atom_site_occupancy
Sb1 Sb 0.0000 0.0000 0.0000 1
Te1 Te 0.5000 0.5000 0.0000 1
S1 S 0.0000 0.0000 0.5000 1
I1 I 0.0000 0.5000 0.5000 1


Entry 18:
# SbTeSI2 | the Alexandria database | PBE-GGA | optimized geometry
# DFT total energy	-2.080	eV per atom
# M_tot	1.01	μB per cell
data_SbTeSI2
_chemical_formula_sum 'Sb1 Te1 S1 I2'
_symmetry_space_group_name_H-M 'P 4/m m m'
_symmetry_Int_Tables_number 123
_symmetry_space_group_name_Hall '-P 4 2'
_cell_length_a 5.7831
_cell_length_b 5.7831
_cell_length_c 6.2867
_cell_angle_alpha 90.00
_cell_angle_beta 90.00
_cell_angle_gamma 90.00
loop_
_atom_site_label
_atom_site_type_symbol
_atom_site_fract_x
_atom_site_fract_y
_atom_site_fract_z
_atom_site_occupancy
Sb1 Sb 0.0000 0.0000 0.0000 1
Te1 Te 0.0000 0.0000 0.5000 1
S1 S 0.5000 0.5000 0.0000 1
I1 I 0.0000 0.5000 0.5000 1


Entry 19:
# TiSb2SI | the Alexandria database | PBE-GGA | optimized geometry
# DFT total energy	-4.006	eV per atom
# M_tot	0.00	μB per cell
data_TiSb2SI
_chemical_formula_sum 'Ti1 Sb2 S1 I1'
_symmetry_space_group_name_H-M 'P 4/m m m'
_symmetry_Int_Tables_number 123
_symmetry_space_group_name_Hall '-P 4 2'
_cell_length_a 5.3395
_cell_length_b 5.3395
_cell_length_c 5.1222
_cell_angle_alpha 90.00
_cell_angle_beta 90.00
_cell_angle_gamma 90.00
loop_
_atom_site_label
_atom_site_type_symbol
_atom_site_fract_x
_atom_site_fract_y
_atom_site_fract_z
_atom_site_occupancy
Ti1 Ti 0.0000 0.0000 0.0000 1
Sb1 Sb 0.0000 0.5000 0.0000 1
S1 S 0.5000 0.5000 0.5000 1
I1 I 0.0000 0.0000 0.5000 1


Entry 20:
# TiSbSI2 | the Alexandria database | PBE-GGA | optimized geometry
# DFT total energy	-3.569	eV per atom
# M_tot	0.52	μB per cell
data_TiSbSI2
_chemical_formula_sum 'Ti1 Sb1 S1 I2'
_symmetry_space_group_name_H-M 'P 4/m m m'
_symmetry_Int_Tables_number 123
_symmetry_space_group_name_Hall '-P 4 2'
_cell_length_a 5.2260
_cell_length_b 5.2260
_cell_length_c 5.6563
_cell_angle_alpha 90.00
_cell_angle_beta 90.00
_cell_angle_gamma 90.00
loop_
_atom_site_label
_atom_site_type_symbol
_atom_site_fract_x
_atom_site_fract_y
_atom_site_fract_z
_atom_site_occupancy
Ti1 Ti 0.0000 0.0000 0.0000 1
Sb1 Sb 0.0000 0.0000 0.5000 1
S1 S 0.5000 0.5000 0.5000 1
I1 I 0.0000 0.5000 0.0000 1